[1]
The following is a DFT calculation (PBE) of a relaxed BaAsAu crystal.

a b c (Å): 8.600 8.600 8.600
angles (deg): 148.83 148.83 44.67
Fractional coordinates of all 6 atoms:
Ba 0.000 0.000 0.000
Ba 0.750 0.250 0.500
As 0.166 0.666 0.500
As 0.416 0.416 0.000
Au 0.335 0.835 0.500
Au 0.585 0.585 0.000

Values from the calculation:
crystal system	tetragonal
final energy	-0.3068	Ry per atom



[2]
The following is a DFT calculation (PBE) of a relaxed Sb2PIrRh crystal.

a b c (Å): 5.297 5.297 4.285
angles (deg): 90.00 90.00 90.00
Fractional coordinates of all 5 atoms:
Sb 0.000 0.500 0.000
Sb 0.500 0.000 0.000
P 0.000 0.000 0.500
Ir 0.000 0.000 0.000
Rh 0.500 0.500 0.500

Values from the calculation:
crystal system	tetragonal
formation energy without anion corrections	3.50	eV/f.u.



[3]
The following is a DFT calculation (PBE) of a relaxed Rb5TcO5 crystal.

a b c (Å): 6.750 6.750 7.518
angles (deg): 106.57 106.57 46.07
Fractional coordinates of all 11 atoms:
Rb 0.000 0.000 0.000
Rb 0.323 0.323 0.202
Rb 0.329 0.329 0.658
Rb 0.671 0.671 0.342
Rb 0.677 0.677 0.798
Tc 0.000 0.000 0.500
O 0.116 0.116 0.747
O 0.118 0.118 0.377
O 0.500 0.500 0.500
O 0.882 0.882 0.623
O 0.884 0.884 0.253

Values from the calculation:
crystal system	monoclinic
formation energy without anion corrections	-12.59	eV/f.u.
energy above the lowest structure with this stoichiometry	1.80	eV/f.u.



[4]
The following is a DFT calculation (PBE) of a relaxed LiPaBiPb crystal.

a b c (Å): 5.311 5.311 5.311
angles (deg): 60.00 60.00 60.00
Fractional coordinates of all 4 atoms:
Li 0.000 0.000 0.000
Pa 0.500 0.500 0.500
Bi 0.250 0.250 0.250
Pb 0.750 0.750 0.750

Values from the calculation:
crystal system	cubic
final energy	-0.3514	Ry per atom



[5]
The following is a DFT calculation (PBE) of a relaxed Li5In2Ag3 crystal.

a b c (Å): 9.006 9.006 9.006
angles (deg): 115.30 75.21 145.90
Fractional coordinates of all 20 atoms:
Li 0.167 0.582 0.750
Li 0.250 0.002 0.752
Li 0.250 0.250 0.000
Li 0.250 0.498 0.248
Li 0.333 0.082 0.415
Li 0.667 0.918 0.585
Li 0.750 0.502 0.752
Li 0.750 0.750 0.000
Li 0.750 0.998 0.248
Li 0.833 0.418 0.250
In 0.164 0.901 0.065
In 0.336 0.401 0.736
In 0.664 0.599 0.264
In 0.836 0.099 0.935
Ag 0.164 0.253 0.417
Ag 0.250 0.750 0.500
Ag 0.336 0.753 0.090
Ag 0.664 0.247 0.910
Ag 0.750 0.250 0.500
Ag 0.836 0.747 0.583

Values from the calculation:
crystal system	orthorhombic
final energy	-0.1827	Ry per atom



[6]
The following is a DFT calculation (PBE) of a relaxed Li2Zn2CdAg2 crystal.

a b c (Å): 4.983 4.983 6.516
angles (deg): 96.70 96.70 46.81
Fractional coordinates of all 7 atoms:
Li 0.216 0.216 0.154
Li 0.784 0.784 0.846
Zn 0.077 0.077 0.701
Zn 0.923 0.923 0.299
Cd 0.500 0.500 0.000
Ag 0.358 0.358 0.582
Ag 0.642 0.642 0.418

Values from the calculation:
crystal system	monoclinic
final energy	-0.1477	Ry per atom



[7]
The following is a DFT calculation (PBE) of a relaxed Pm2Dy3Ag2 crystal.

a b c (Å): 5.406 5.406 8.402
angles (deg): 108.81 108.81 60.02
Fractional coordinates of all 7 atoms:
Pm 0.076 0.076 0.227
Pm 0.924 0.924 0.773
Dy 0.338 0.338 0.015
Dy 0.500 0.500 0.500
Dy 0.662 0.662 0.985
Ag 0.212 0.212 0.637
Ag 0.788 0.788 0.363

Values from the calculation:
crystal system	monoclinic
energy above the lowest structure with this stoichiometry	0.05	eV/f.u.



[8]
The following is a DFT calculation (PBE) of a relaxed Pu6IrRh5 crystal.

a b c (Å): 8.150 8.150 6.285
angles (deg): 90.00 90.00 144.92
Fractional coordinates of all 12 atoms:
Pu 0.000 0.000 0.250
Pu 0.000 0.000 0.750
Pu 0.335 0.665 0.250
Pu 0.335 0.665 0.750
Pu 0.665 0.335 0.250
Pu 0.665 0.335 0.750
Ir 0.500 0.500 0.000
Rh 0.172 0.828 0.500
Rh 0.174 0.826 0.000
Rh 0.500 0.500 0.500
Rh 0.826 0.174 0.000
Rh 0.828 0.172 0.500

Values from the calculation:
crystal system	orthorhombic
final energy	-0.8359	Ry per atom



no.,V (Å³/atom),D(E_F) (states/eV per cell)
1,28.3,0.0
2,24.0,5.6
3,21.3,6.3
4,26.5,5.0
5,18.2,5.4
6,16.7,1.8
7,28.2,6.3
8,20.0,47.0